1.
First-principles (GGA-PBEsol) data for a geometry-optimized Tl2Hg2Sb structure, as listed in the Alexandria database.

Summary:
DFT total energy   -2.10 eV/atom
Fermi-level density of states   0.457 states/eV per atom
Density   10.85 g/cm3
SG   I4/mmm (139)
Excess energy over the best structure of this formula in the dataset   0.0695 eV per atom
Formation energy without anion corrections   0.09 eV/atom

Cell: 4.0140 4.0140 17.6959 Å, 90.00 90.00 90.00°
Last column: nearest neighbours and their distance in Å.
Fractional coordinates of all 10 atoms:
Tl  0.0000  0.0000  0.0963  4 Sb 3.31, 4 Hg 3.38, 1 Tl 3.41
Tl  0.0000  0.0000  0.9037  4 Sb 3.31, 4 Hg 3.38, 1 Tl 3.41
Tl  0.5000  0.5000  0.4037  4 Sb 3.31, 4 Hg 3.38, 1 Tl 3.41
Tl  0.5000  0.5000  0.5963  4 Sb 3.31, 4 Hg 3.38, 1 Tl 3.41
Hg  0.0000  0.5000  0.2500  4 Hg 2.84
Hg  0.0000  0.5000  0.7500  4 Hg 2.84
Hg  0.5000  0.0000  0.2500  4 Hg 2.84
Hg  0.5000  0.0000  0.7500  4 Hg 2.84
Sb  0.0000  0.0000  0.5000  8 Tl 3.31
Sb  0.5000  0.5000  0.0000  8 Tl 3.31

---

2.
First-principles (GGA-PBEsol) data for a geometry-optimized AlSbTe2H structure, as listed in the Alexandria database.

Summary:
DFT total energy   -3.43 eV/atom
Fermi-level density of states   0.474 states/eV per atom
Density   6.35 g/cm3
SG   P4/mmm (123)

Cell: 5.2412 5.2412 3.8537 Å, 90.00 90.00 90.00°
Last column: nearest neighbours and their distance in Å.
Fractional coordinates of all 5 atoms:
Al  0.0000  0.0000  0.0000  8 Te 3.25
Sb  0.5000  0.5000  0.0000  2 H 1.93
Te  0.0000  0.5000  0.5000  2 H 2.62
Te  0.5000  0.0000  0.5000  2 H 2.62
H  0.5000  0.5000  0.5000  2 Sb 1.93

---

3.
First-principles (GGA-PBEsol) data for a geometry-optimized Sr6Ge5N2 structure, as listed in the Alexandria database.

Summary:
DFT total energy   -4.78 eV/atom
Fermi-level density of states   0.120 states/eV per atom
Density   4.75 g/cm3
SG   Pmmn (59)
Formation energy without anion corrections   -0.72 eV/atom

Cell: 3.9881 17.8302 9.0240 Å, 90.00 90.00 90.00°
Last column: nearest neighbours and their distance in Å.
Fractional coordinates of all 26 atoms:
Sr  0.2500  0.0657  0.1136  1 N 2.42
Sr  0.2500  0.2500  0.7605  5 Ge 3.05-3.18
Sr  0.2500  0.4343  0.1136  1 N 2.42
Sr  0.2500  0.6100  0.5370  2 N 2.71
Sr  0.2500  0.7500  0.8384  4 N 2.76, 2 Ge 3.08
Sr  0.2500  0.8900  0.5370  2 N 2.71
Sr  0.7500  0.1100  0.4630  2 N 2.71
Sr  0.7500  0.2500  0.1616  4 N 2.76, 2 Ge 3.08
Sr  0.7500  0.3900  0.4630  2 N 2.71
Sr  0.7500  0.5657  0.8864  1 N 2.42
Sr  0.7500  0.7500  0.2395  5 Ge 3.05-3.18
Sr  0.7500  0.9343  0.8864  1 N 2.42
Ge  0.2500  0.0554  0.7360  2 Ge 2.54
Ge  0.2500  0.2500  0.4220  2 N 1.89
Ge  0.2500  0.4446  0.7360  2 Ge 2.54
Ge  0.2500  0.6199  0.1449  2 Ge 2.54
Ge  0.2500  0.8801  0.1449  2 Ge 2.54
Ge  0.7500  0.1199  0.8551  2 Ge 2.54
Ge  0.7500  0.3801  0.8551  2 Ge 2.54
Ge  0.7500  0.5554  0.2640  2 Ge 2.54
Ge  0.7500  0.7500  0.5780  2 N 1.89
Ge  0.7500  0.9446  0.2640  2 Ge 2.54
N  0.2500  0.1664  0.2932  1 Ge 1.89
N  0.2500  0.3336  0.2932  1 Ge 1.89
N  0.7500  0.6664  0.7068  1 Ge 1.89
N  0.7500  0.8336  0.7068  1 Ge 1.89

---

4.
First-principles (GGA-PBEsol) data for a geometry-optimized SrSbHW2 structure, as listed in the Alexandria database.

Summary:
DFT total energy   -6.67 eV/atom
Fermi-level density of states   0.814 states/eV per atom
Density   11.18 g/cm3
SG   P4/mmm (123)

Cell: 4.0989 4.0989 5.1112 Å, 90.00 90.00 90.00°
Last column: nearest neighbours and their distance in Å.
Fractional coordinates of all 5 atoms:
Sr  0.0000  0.0000  0.0000  4 Sb 2.90
Sb  0.5000  0.5000  0.0000  2 H 2.56
H  0.5000  0.5000  0.5000  4 W 2.05
W  0.0000  0.5000  0.5000  2 H 2.05
W  0.5000  0.0000  0.5000  2 H 2.05